Entry 1:
ZrSnH4NF7: relaxed, PBE.

Structure (POSCAR):
```
ZrSnH4NF7
1.0
-4.9972 6.4668 0.8972
-4.0272 -3.4726 2.5986
4.9478 2.3280 10.7788
F H N Sn Zr
28 16 4 4 4
direct
0.1495 0.5000 0.0000
0.8505 0.5000 0.0000
0.0000 0.8718 0.0764
0.5000 0.8785 0.0847
0.2400 0.1514 0.1056
0.7600 0.1514 0.1056
0.0000 0.5061 0.1984
0.0000 0.1063 0.2445
0.5000 0.1063 0.2555
0.5000 0.5061 0.3016
0.2600 0.1514 0.3944
0.7400 0.1514 0.3944
0.0000 0.8785 0.4153
0.5000 0.8718 0.4236
0.3505 0.5000 0.5000
0.6495 0.5000 0.5000
0.5000 0.1282 0.5764
0.0000 0.1215 0.5847
0.2600 0.8486 0.6056
0.7400 0.8486 0.6056
0.5000 0.4939 0.6984
0.5000 0.8937 0.7445
0.0000 0.8937 0.7555
0.0000 0.4939 0.8016
0.2400 0.8486 0.8944
0.7600 0.8486 0.8944
0.5000 0.1215 0.9153
0.0000 0.1282 0.9236
0.2973 0.8743 0.1889
0.7027 0.8743 0.1889
0.1567 0.6746 0.2185
0.8433 0.6746 0.2185
0.3433 0.6746 0.2815
0.6567 0.6746 0.2815
0.2027 0.8743 0.3111
0.7973 0.8743 0.3111
0.2027 0.1257 0.6889
0.7973 0.1257 0.6889
0.3433 0.3254 0.7185
0.6567 0.3254 0.7185
0.1567 0.3254 0.7815
0.8433 0.3254 0.7815
0.2973 0.1257 0.8111
0.7027 0.1257 0.8111
0.2500 0.7730 0.2500
0.7500 0.7730 0.2500
0.2500 0.2270 0.7500
0.7500 0.2270 0.7500
0.5000 0.2625 0.0846
0.0000 0.2625 0.4154
0.0000 0.7375 0.5846
0.5000 0.7375 0.9154
0.0000 0.2467 0.0857
0.5000 0.2467 0.4143
0.5000 0.7533 0.5857
0.0000 0.7533 0.9143
```

Its spin magnetization is 0.00 μB per cell. As for the final energy: -5.5907 eV per atom.

=====

Entry 2:
YFeSiOs: relaxed, PBE.

Structure (POSCAR):
```
YFeSiOs
1.0
-3.4920 -0.7048 2.6218
-1.9565 3.4023 2.0400
-4.0240 1.3242 -1.2724
Fe Os Si Y
1 1 1 1
direct
0.7500 0.7500 0.7500
0.2500 0.2500 0.2500
0.0000 0.0000 0.0000
0.5000 0.5000 0.5000
```

Its spin magnetization is 0.94 μB per cell. As for the final energy: -7.8309 eV per atom. The calculation puts the excess energy over the best structure of this formula in the dataset at 0.0 kJ/mol of formula units.